Entry from the Alexandria database: a geometry-optimized BaVP2S structure (PBE).

Summary:
Energy above the most stable polymorph in this dataset ... 0.000 eV/atom
DFT total energy ... -29.445 eV per formula unit
Spin magnetization ... 0.0 μB/f.u.
Uncorrected formation energy ... -0.6912 eV per atom
Symmetry ... No. 123

abc: 4.563 4.563 5.232
angles: 90.00 90.00 90.00
Positions (direct):
Ba 0.000 0.000 0.000
V 0.500 0.500 0.500
P 0.000 0.500 0.500
P 0.500 0.000 0.500
S 0.500 0.500 0.000